Entry 1:
The following is a DFT calculation (GGA-PBE) of RbMgClF2 after structural relaxation.

Geometry as extended XYZ:
```
5
Lattice="4.2554 0.0000 0.0000 0.0000 4.2554 0.0000 0.0000 0.0000 5.0341" Properties=species:S:1:pos:R:3 pbc="T T T"
Rb 0.0000 0.0000 0.0000
Mg 2.1277 2.1277 2.5171
Cl 2.1277 2.1277 0.0000
F 0.0000 2.1277 2.5171
F 2.1277 0.0000 2.5171
```

Computed properties:
Space group ... P4/mmm (123)
Total DFT energy (no corrections) ... -21.7 eV for the cell shown
Density of states at the Fermi level ... 0.0000 states/eV per atom
Uncorrected formation energy ... -2705.2 meV per atom

Entry 2:
The following is a DFT calculation (GGA-PBE) of CsHBr2 after structural relaxation.

Geometry as extended XYZ:
```
16
Lattice="7.1428 0.0000 0.0000 0.0000 7.1428 0.0000 0.0000 0.0000 9.2276" Properties=species:S:1:pos:R:3 pbc="T T T"
Cs 0.0000 0.0000 0.0000
Cs 0.0000 3.5714 2.3069
Cs 3.5714 0.0000 6.9207
Cs 3.5714 3.5714 4.6138
H 0.0000 0.0000 4.6138
H 0.0000 3.5714 6.9207
H 3.5714 0.0000 2.3069
H 3.5714 3.5714 0.0000
Br 0.5659 5.3571 5.7673
Br 1.7857 0.5659 3.4604
Br 1.7857 3.0056 8.0742
Br 3.0056 5.3571 1.1535
Br 4.1373 1.7857 1.1535
Br 5.3571 4.1373 8.0742
Br 5.3571 6.5770 3.4604
Br 6.5770 1.7857 5.7673
```

Computed properties:
Space group ... I-42d (122)
Total DFT energy (no corrections) ... -40.4 eV for the cell shown
Density of states at the Fermi level ... 0.0000 states/eV per atom

Entry 3:
The following is a DFT calculation (GGA-PBE) of BeNiSeN2 after structural relaxation.

Geometry as extended XYZ:
```
5
Lattice="3.4392 0.0000 0.0000 0.0000 3.4392 0.0000 0.0000 0.0000 7.8860" Properties=species:S:1:pos:R:3 pbc="T T T"
Be 0.0000 0.0000 0.0000
Ni 1.7196 1.7196 3.9430
Se 1.7196 1.7196 0.0000
N 0.0000 1.7196 3.9430
N 1.7196 0.0000 3.9430
```

Computed properties:
Space group ... P4/mmm (123)
Total DFT energy (no corrections) ... -24.0 eV for the cell shown
Density of states at the Fermi level ... 0.6188 states/eV per atom
Uncorrected formation energy ... 1127.9 meV per atom

Entry 4:
The following is a DFT calculation (GGA-PBE) of ZrPdS2 after structural relaxation.

Geometry as extended XYZ:
```
12
Lattice="3.5934 0.0000 0.0000 -1.7967 3.1120 0.0000 0.0000 0.0000 19.1845" Properties=species:S:1:pos:R:3 pbc="T T T"
Zr 0.0000 0.0000 0.0000
Zr 0.0000 2.0747 12.7897
Zr 1.7967 1.0373 6.3948
Pd 0.0000 0.0000 2.9772
Pd 0.0000 2.0747 15.7668
Pd 1.7967 1.0373 9.3720
S 0.0000 0.0000 11.1280
S 0.0000 0.0000 14.3079
S 0.0000 2.0747 4.7332
S 0.0000 2.0747 7.9131
S 1.7967 1.0373 1.5182
S 1.7967 1.0373 17.5228
```

Computed properties:
Space group ... R3m (160)
Total DFT energy (no corrections) ... -77.4 eV for the cell shown
Density of states at the Fermi level ... 0.0750 states/eV per atom
Uncorrected formation energy ... -949.0 meV per atom

Entry 5:
The following is a DFT calculation (GGA-PBE) of Ti2GeCl after structural relaxation.

Geometry as extended XYZ:
```
16
Lattice="5.5515 0.0000 0.0000 0.0000 5.5515 0.0000 0.0000 0.0000 11.6262" Properties=species:S:1:pos:R:3 pbc="T T T"
Ti 1.3316 1.3879 1.4533
Ti 1.3879 4.1074 4.3598
Ti 1.3879 4.2199 10.1729
Ti 1.4441 1.3879 7.2664
Ti 4.1074 4.1636 7.2664
Ti 4.1636 1.3316 10.1729
Ti 4.1636 1.4441 4.3598
Ti 4.2199 4.1636 1.4533
Ge 0.0000 0.0000 5.8131
Ge 0.0000 2.7758 8.7196
Ge 2.7758 0.0000 2.9065
Ge 2.7758 2.7758 0.0000
Cl 0.0000 0.0000 0.0000
Cl 0.0000 2.7758 2.9065
Cl 2.7758 0.0000 8.7196
Cl 2.7758 2.7758 5.8131
```

Computed properties:
Space group ... I-42d (122)
Total DFT energy (no corrections) ... -89.2 eV for the cell shown
Density of states at the Fermi level ... 1.2955 states/eV per atom
Uncorrected formation energy ... -11.8 meV per atom

Entry 6:
The following is a DFT calculation (GGA-PBE) of Sc2AgSe after structural relaxation.

Geometry as extended XYZ:
```
8
Lattice="6.4461 0.0000 0.0000 0.0000 3.7171 0.0000 -2.1384 0.0000 7.1605" Properties=species:S:1:pos:R:3 pbc="T T T"
Sc 1.0765 0.0000 1.6557
Sc 0.0082 1.8586 5.5048
Sc 4.2995 1.8586 1.6557
Sc 3.2312 0.0000 5.5048
Ag -1.0692 0.0000 3.5802
Ag 2.1538 1.8586 3.5802
Se 0.0000 1.8586 0.0000
Se 3.2231 0.0000 0.0000
```

Computed properties:
Space group ... C2/m (12)
Total DFT energy (no corrections) ... -44.6 eV for the cell shown
Density of states at the Fermi level ... 0.6521 states/eV per atom
Uncorrected formation energy ... -824.8 meV per atom

Entry 7:
The following is a DFT calculation (GGA-PBE) of CrSi2Ir after structural relaxation.

Geometry as extended XYZ:
```
16
Lattice="6.0624 0.0000 0.0000 0.0000 6.0624 0.0000 0.0000 0.0000 6.0624" Properties=species:S:1:pos:R:3 pbc="T T T"
Cr 0.0000 0.0000 0.0000
Cr 0.0000 3.0312 3.0312
Cr 3.0312 0.0000 3.0312
Cr 3.0312 3.0312 0.0000
Si 0.0000 0.0000 3.0312
Si 0.0000 3.0312 0.0000
Si 1.5156 1.5156 4.5468
Si 1.5156 4.5468 1.5156
Si 3.0312 0.0000 0.0000
Si 3.0312 3.0312 3.0312
Si 4.5468 1.5156 1.5156
Si 4.5468 4.5468 4.5468
Ir 1.5156 1.5156 1.5156
Ir 1.5156 4.5468 4.5468
Ir 4.5468 1.5156 4.5468
Ir 4.5468 4.5468 1.5156
```

Computed properties:
Space group ... F-43m (216)
Total DFT energy (no corrections) ... -116.1 eV for the cell shown
Density of states at the Fermi level ... 0.3376 states/eV per atom
Uncorrected formation energy ... 78.6 meV per atom

Entry 8:
The following is a DFT calculation (GGA-PBE) of Li2Ag2SbAu4 after structural relaxation.

Geometry as extended XYZ:
```
9
Lattice="-3.3329 3.3329 4.0402 3.3329 -3.3329 4.0402 3.3329 3.3329 -4.0402" Properties=species:S:1:pos:R:3 pbc="T T T"
Li 0.0000 0.0000 1.5153
Li 0.0000 0.0000 6.5650
Ag 3.3329 0.0000 2.0201
Ag 0.0000 3.3329 2.0201
Sb 0.0000 0.0000 4.0402
Au 1.4487 1.4487 0.0000
Au 1.8842 -1.8842 4.0402
Au -1.8842 1.8842 4.0402
Au 1.8842 1.8842 4.0402
```

Computed properties:
Space group ... I4/mmm (139)
Total DFT energy (no corrections) ... -27.1 eV for the cell shown
Density of states at the Fermi level ... 0.2879 states/eV per atom
Uncorrected formation energy ... -36.5 meV per atom

Entry 9:
The following is a DFT calculation (GGA-PBE) of Hf4MnPb2 after structural relaxation.

Geometry as extended XYZ:
```
7
Lattice="6.2099 0.0000 0.0000 0.0000 3.2464 0.0000 -3.0451 0.0000 7.9086" Properties=species:S:1:pos:R:3 pbc="T T T"
Hf -0.0707 0.0000 2.3039
Hf -0.2010 1.6232 5.0252
Hf 3.3658 1.6232 2.8834
Hf 3.2355 0.0000 5.6047
Mn 1.5824 0.0000 3.9543
Pb 1.5874 1.6232 0.0590
Pb 1.5774 1.6232 7.8495
```

Computed properties:
Space group ... P2/m (10)
Total DFT energy (no corrections) ... -55.6 eV for the cell shown
Density of states at the Fermi level ... 0.9230 states/eV per atom

Entry 10:
The following is a DFT calculation (GGA-PBE) of LuThGa4 after structural relaxation.

Geometry as extended XYZ:
```
6
Lattice="0.0000 3.9435 3.9435 3.9435 0.0000 3.9435 3.9435 3.9435 0.0000" Properties=species:S:1:pos:R:3 pbc="T T T"
Lu 0.0000 0.0000 0.0000
Th 1.9717 1.9717 1.9717
Ga 4.9297 2.9572 2.9572
Ga 2.9572 4.9297 2.9572
Ga 2.9572 2.9572 4.9297
Ga 4.9297 4.9297 4.9297
```

Computed properties:
Space group ... F-43m (216)
Total DFT energy (no corrections) ... -26.7 eV for the cell shown
Density of states at the Fermi level ... 0.6958 states/eV per atom

Entry 11:
The following is a DFT calculation (GGA-PBE) of Pm2Ga4Cu3Au after structural relaxation.

Geometry as extended XYZ:
```
10
Lattice="4.2520 0.0000 0.0000 0.0000 4.2520 0.0000 0.0000 0.0000 10.2355" Properties=species:S:1:pos:R:3 pbc="T T T"
Pm 0.0000 2.1260 2.5286
Pm 2.1260 0.0000 7.7069
Ga 0.0000 0.0000 0.0000
Ga 0.0000 2.1260 6.5627
Ga 2.1260 0.0000 3.6727
Ga 2.1260 2.1260 0.0000
Cu 0.0000 2.1260 8.9454
Cu 2.1260 0.0000 1.2901
Cu 2.1260 2.1260 5.1177
Au 0.0000 0.0000 5.1177
```

Computed properties:
Space group ... P-4m2 (115)
Total DFT energy (no corrections) ... -42.1 eV for the cell shown
Density of states at the Fermi level ... 0.5319 states/eV per atom

Entry 12:
The following is a DFT calculation (GGA-PBE) of CaSi after structural relaxation.

Geometry as extended XYZ:
```
8
Lattice="6.0248 0.0000 0.0000 0.0000 6.0248 0.0000 0.0000 0.0000 5.9225" Properties=species:S:1:pos:R:3 pbc="T T T"
Ca 1.1309 1.1309 0.0000
Ca 1.8815 4.1432 2.9612
Ca 4.1432 1.8815 2.9612
Ca 4.8939 4.8939 0.0000
Si 0.8248 0.8248 2.9612
Si 2.1876 3.8372 0.0000
Si 3.8372 2.1876 0.0000
Si 5.2000 5.2000 2.9612
```

Computed properties:
Space group ... P4_2/mnm (136)
Total DFT energy (no corrections) ... -30.6 eV for the cell shown
Density of states at the Fermi level ... 0.7655 states/eV per atom
Uncorrected formation energy ... -113.8 meV per atom